No. 1
# ZnPdPt2N6 | OQMD | GGA-PBE | relaxed
data_ZnPdPt2N6
_chemical_formula_sum 'Zn1 Pd1 Pt2 N6'
_cell_length_a 6.373
_cell_length_b 6.373
_cell_length_c 3.188
_cell_angle_alpha 90.00
_cell_angle_beta 90.00
_cell_angle_gamma 117.58
_symmetry_space_group_name_H-M 'P 1'
_symmetry_Int_Tables_number 1
loop_
_symmetry_equiv_pos_as_xyz
'x,y,z'
loop_
_atom_site_label
_atom_site_type_symbol
_atom_site_fract_x
_atom_site_fract_y
_atom_site_fract_z
Pt1 Pt 0.000 0.500 0.500
Pt2 Pt 0.500 0.000 0.500
N1 N 0.624 0.376 0.500
N2 N 0.925 0.277 0.000
N3 N 0.723 0.075 0.000
N4 N 0.075 0.723 0.000
N5 N 0.376 0.624 0.500
N6 N 0.277 0.925 0.000
Pd1 Pd 0.000 0.000 0.000
Zn1 Zn 0.500 0.500 0.000
# Density ... 9.35 g cm⁻³
# Total magnetization ... 0.00 Bohr magnetons per cell

No. 2
# PdS6N2 | OQMD | GGA-PBE | relaxed
data_PdS6N2
_chemical_formula_sum 'Pd4 S24 N8'
_cell_length_a 12.446
_cell_length_b 9.199
_cell_length_c 7.284
_cell_angle_alpha 90.00
_cell_angle_beta 96.45
_cell_angle_gamma 90.00
_symmetry_space_group_name_H-M 'P 1'
_symmetry_Int_Tables_number 1
loop_
_symmetry_equiv_pos_as_xyz
'x,y,z'
loop_
_atom_site_label
_atom_site_type_symbol
_atom_site_fract_x
_atom_site_fract_y
_atom_site_fract_z
S1 S 0.923 0.496 0.724
S2 S 0.312 0.675 0.338
S3 S 0.077 0.504 0.276
S4 S 0.688 0.325 0.662
S5 S 0.801 0.697 0.190
S6 S 0.077 0.996 0.776
S7 S 0.199 0.197 0.310
S8 S 0.565 0.864 0.137
S9 S 0.801 0.803 0.690
S10 S 0.574 0.643 0.141
S11 S 0.565 0.636 0.637
S12 S 0.830 0.287 0.202
S13 S 0.199 0.303 0.810
S14 S 0.312 0.825 0.838
S15 S 0.435 0.364 0.363
S16 S 0.426 0.143 0.359
S17 S 0.435 0.136 0.863
S18 S 0.170 0.787 0.298
S19 S 0.830 0.213 0.702
S20 S 0.170 0.713 0.798
S21 S 0.923 0.004 0.224
S22 S 0.574 0.857 0.641
S23 S 0.426 0.357 0.859
S24 S 0.688 0.175 0.162
Pd1 Pd 0.746 0.935 0.178
Pd2 Pd 0.746 0.565 0.678
Pd3 Pd 0.254 0.435 0.322
Pd4 Pd 0.254 0.065 0.822
N1 N 0.072 0.680 0.274
N2 N 0.072 0.820 0.774
N3 N 0.305 0.093 0.333
N4 N 0.695 0.593 0.167
N5 N 0.928 0.180 0.226
N6 N 0.928 0.320 0.726
N7 N 0.695 0.907 0.667
N8 N 0.305 0.407 0.833
# Density ... 2.62 g cm⁻³

No. 3
# PdSe6N2 | OQMD | GGA-PBE | relaxed
data_PdSe6N2
_chemical_formula_sum 'Pd1 Se6 N2'
_cell_length_a 4.839
_cell_length_b 6.751
_cell_length_c 7.024
_cell_angle_alpha 87.02
_cell_angle_beta 73.55
_cell_angle_gamma 77.38
_symmetry_space_group_name_H-M 'P 1'
_symmetry_Int_Tables_number 1
loop_
_symmetry_equiv_pos_as_xyz
'x,y,z'
loop_
_atom_site_label
_atom_site_type_symbol
_atom_site_fract_x
_atom_site_fract_y
_atom_site_fract_z
N1 N 0.116 0.901 0.238
N2 N 0.884 0.099 0.762
Se1 Se 0.275 0.772 0.402
Se2 Se 0.215 0.502 0.752
Se3 Se 0.785 0.498 0.248
Se4 Se 0.557 0.242 0.208
Se5 Se 0.443 0.758 0.792
Se6 Se 0.725 0.228 0.598
Pd1 Pd 0.000 0.000 0.000
# Density ... 4.70 g cm⁻³

No. 4
# SnPd5N | OQMD | GGA-PBE | relaxed
data_SnPd5N
_chemical_formula_sum 'Sn1 Pd5 N1'
_cell_length_a 3.894
_cell_length_b 3.894
_cell_length_c 6.924
_cell_angle_alpha 90.00
_cell_angle_beta 90.00
_cell_angle_gamma 90.00
_symmetry_space_group_name_H-M 'P 1'
_symmetry_Int_Tables_number 1
loop_
_symmetry_equiv_pos_as_xyz
'x,y,z'
loop_
_atom_site_label
_atom_site_type_symbol
_atom_site_fract_x
_atom_site_fract_y
_atom_site_fract_z
Pd1 Pd 0.000 0.000 0.000
Pd2 Pd 0.500 0.000 0.695
Pd3 Pd 0.500 0.000 0.305
Pd4 Pd 0.000 0.500 0.305
Pd5 Pd 0.000 0.500 0.695
Sn1 Sn 0.500 0.500 0.000
N1 N 0.000 0.000 0.500
# Density ... 10.51 g cm⁻³

No. 5
# SrPdN3 | OQMD | GGA-PBE | relaxed
data_SrPdN3
_chemical_formula_sum 'Sr2 Pd2 N6'
_cell_length_a 6.920
_cell_length_b 6.920
_cell_length_c 5.800
_cell_angle_alpha 90.00
_cell_angle_beta 90.00
_cell_angle_gamma 147.44
_symmetry_space_group_name_H-M 'P 1'
_symmetry_Int_Tables_number 1
loop_
_symmetry_equiv_pos_as_xyz
'x,y,z'
loop_
_atom_site_label
_atom_site_type_symbol
_atom_site_fract_x
_atom_site_fract_y
_atom_site_fract_z
Sr1 Sr 0.911 0.089 0.750
Sr2 Sr 0.089 0.911 0.250
N1 N 0.384 0.920 0.750
N2 N 0.500 0.500 0.500
N3 N 0.920 0.384 0.250
N4 N 0.500 0.500 0.000
N5 N 0.080 0.616 0.750
N6 N 0.616 0.080 0.250
Pd1 Pd 0.609 0.391 0.750
Pd2 Pd 0.391 0.609 0.250
# Density ... 5.25 g cm⁻³

No. 6
# Tc3PdN | OQMD | GGA-PBE | relaxed
data_Tc3PdN
_chemical_formula_sum 'Tc3 Pd1 N1'
_cell_length_a 4.037
_cell_length_b 4.037
_cell_length_c 4.037
_cell_angle_alpha 90.00
_cell_angle_beta 90.00
_cell_angle_gamma 90.00
_symmetry_space_group_name_H-M 'P 1'
_symmetry_Int_Tables_number 1
loop_
_symmetry_equiv_pos_as_xyz
'x,y,z'
loop_
_atom_site_label
_atom_site_type_symbol
_atom_site_fract_x
_atom_site_fract_y
_atom_site_fract_z
Pd1 Pd 0.000 0.000 0.000
Tc1 Tc 0.500 0.500 0.000
Tc2 Tc 0.500 0.000 0.500
Tc3 Tc 0.000 0.500 0.500
N1 N 0.500 0.500 0.500
# Density ... 10.46 g cm⁻³
# Total magnetization ... 0.01 Bohr magnetons per cell

No. 7
# TlPd3N5 | OQMD | GGA-PBE | relaxed
data_TlPd3N5
_chemical_formula_sum 'Tl1 Pd3 N5'
_cell_length_a 5.743
_cell_length_b 5.743
_cell_length_c 4.175
_cell_angle_alpha 90.00
_cell_angle_beta 90.00
_cell_angle_gamma 120.00
_symmetry_space_group_name_H-M 'P 1'
_symmetry_Int_Tables_number 1
loop_
_symmetry_equiv_pos_as_xyz
'x,y,z'
loop_
_atom_site_label
_atom_site_type_symbol
_atom_site_fract_x
_atom_site_fract_y
_atom_site_fract_z
Pd1 Pd 0.000 0.500 0.500
Pd2 Pd 0.500 0.000 0.500
Pd3 Pd 0.500 0.500 0.500
N1 N 0.667 0.333 0.145
N2 N 0.333 0.667 0.145
N3 N 0.667 0.333 0.855
N4 N 0.333 0.667 0.855
N5 N 0.000 0.000 0.500
Tl1 Tl 0.000 0.000 0.000
# Density ... 8.27 g cm⁻³

No. 8
# PdW3N | OQMD | GGA-PBE | relaxed
data_PdW3N
_chemical_formula_sum 'Pd1 W3 N1'
_cell_length_a 4.115
_cell_length_b 4.115
_cell_length_c 4.115
_cell_angle_alpha 90.00
_cell_angle_beta 90.00
_cell_angle_gamma 90.00
_symmetry_space_group_name_H-M 'P 1'
_symmetry_Int_Tables_number 1
loop_
_symmetry_equiv_pos_as_xyz
'x,y,z'
loop_
_atom_site_label
_atom_site_type_symbol
_atom_site_fract_x
_atom_site_fract_y
_atom_site_fract_z
W1 W 0.500 0.000 0.000
W2 W 0.000 0.500 0.000
W3 W 0.000 0.000 0.500
N1 N 0.000 0.000 0.000
Pd1 Pd 0.500 0.500 0.500
# Density ... 16.01 g cm⁻³
# Total magnetization ... 0.00 Bohr magnetons per cell

| no. | calculated total energy (eV/atom) |
| --- | --- |
| 1 | -6.164 |
| 2 | -5.018 |
| 3 | -4.255 |
| 4 | -5.353 |
| 5 | -6.346 |
| 6 | -8.887 |
| 7 | -5.840 |
| 8 | -10.440 |